A plane-wave DFT calculation with PBE-GGA was carried out for an optimized crystal structure of CaPm3Tm2Bi6.

Cell and atoms, written as extended XYZ:
```
12
Lattice="9.8756 -2.2679 0.0000 9.8756 2.2679 0.0000 -2.0194 0.0000 8.8476" Properties=species:S:1:pos:R:3 pbc="T T T"
Ca 0.0000 0.0000 0.0000
Pm -1.0097 0.0000 4.4238
Pm 6.2959 0.0000 1.4576
Pm 11.4359 0.0000 7.3900
Tm 5.2355 0.0000 5.8977
Tm 12.4964 0.0000 2.9499
Bi 3.1306 0.0000 0.8204
Bi 2.1720 0.0000 5.1215
Bi 8.2997 0.0000 6.6109
Bi 9.4322 0.0000 2.2367
Bi 15.5599 0.0000 3.7261
Bi 14.6013 0.0000 8.0272
```

Summary:
Density of states at the Fermi level (states/eV/atom): 0.30
E_form (eV per atom): -0.8357
Total DFT energy (no corrections) (eV per cell): -58.51

A plane-wave DFT calculation with PBE-GGA was carried out for an optimized crystal structure of YGaC2.

Cell and atoms, written as extended XYZ:
```
16
Lattice="4.5395 0.0000 0.0000 0.0000 4.5395 0.0000 0.0000 0.0000 11.9891" Properties=species:S:1:pos:R:3 pbc="T T T"
Y 0.0000 0.0000 0.0000
Y 0.0000 2.2698 2.9973
Y 2.2698 0.0000 8.9918
Y 2.2698 2.2698 5.9945
Ga 0.0000 0.0000 5.9945
Ga 0.0000 2.2698 8.9918
Ga 2.2698 0.0000 2.9973
Ga 2.2698 2.2698 0.0000
C 0.6777 1.1349 7.4932
C 1.1349 2.9474 10.4904
C 1.1349 3.8619 4.4959
C 1.5921 1.1349 1.4986
C 2.9474 3.4047 1.4986
C 3.4047 0.6777 4.4959
C 3.4047 1.5921 10.4904
C 3.8619 3.4047 7.4932
```

Summary:
Density of states at the Fermi level (states/eV/atom): 0.70
E_form (eV per atom): 0.7452
Total DFT energy (no corrections) (eV per cell): -99.83

A plane-wave DFT calculation with PBE-GGA was carried out for an optimized crystal structure of Zn2IrCl.

Cell and atoms, written as extended XYZ:
```
4
Lattice="2.9768 0.0000 0.0000 0.0000 4.4858 0.0000 0.0000 0.0000 4.6765" Properties=species:S:1:pos:R:3 pbc="T T T"
Zn 0.0000 0.0000 0.0000
Zn 0.0000 2.2429 1.8134
Ir 1.4884 0.0000 2.2374
Cl 1.4884 2.2429 4.0750
```

Summary:
Density of states at the Fermi level (states/eV/atom): 0.58
Distance to the lowest polymorph of the same formula (meV per atom): 304
Total DFT energy (no corrections) (eV per cell): -13.10

A plane-wave DFT calculation with PBE-GGA was carried out for an optimized crystal structure of Ac2MgAlPt6.

Cell and atoms, written as extended XYZ:
```
10
Lattice="2.9369 1.6956 7.4974 -2.9369 1.6956 7.4974 0.0000 -3.3912 7.4974" Properties=species:S:1:pos:R:3 pbc="T T T"
Ac 0.0000 0.0000 4.8857
Ac 0.0000 0.0000 17.6065
Mg 0.0000 0.0000 11.2461
Al 0.0000 0.0000 0.0000
Pt 0.0000 -1.6267 9.2009
Pt -1.4087 0.8133 9.2009
Pt -1.4087 -0.8133 13.2913
Pt 1.4087 0.8133 9.2009
Pt 1.4087 -0.8133 13.2913
Pt 0.0000 1.6267 13.2913
```

Summary:
Density of states at the Fermi level (states/eV/atom): 0.27
E_form (eV per atom): -0.8122
Total DFT energy (no corrections) (eV per cell): -57.92

A plane-wave DFT calculation with PBE-GGA was carried out for an optimized crystal structure of Mn3CoS.

Cell and atoms, written as extended XYZ:
```
5
Lattice="4.4698 0.0000 0.0000 0.0000 4.4698 0.0000 0.0000 0.0000 4.4698" Properties=species:S:1:pos:R:3 pbc="T T T"
Mn 0.0000 0.0000 2.2349
Mn 0.0000 2.2349 0.0000
Mn 2.2349 0.0000 0.0000
Co 0.0000 0.0000 0.0000
S 2.2349 2.2349 2.2349
```

Summary:
Density of states at the Fermi level (states/eV/atom): 1.11
Distance to the lowest polymorph of the same formula (meV per atom): 161
Total DFT energy (no corrections) (eV per cell): -34.54

A plane-wave DFT calculation with PBE-GGA was carried out for an optimized crystal structure of Ni8BP2.

Cell and atoms, written as extended XYZ:
```
11
Lattice="-1.7588 3.2240 5.1027 1.7588 -3.2240 5.1027 1.7588 3.2240 -5.1027" Properties=species:S:1:pos:R:3 pbc="T T T"
Ni 1.7588 1.7729 -1.6727
Ni 0.0000 0.0000 1.2377
Ni 0.0000 2.0432 0.0000
Ni 1.7588 1.7729 1.6727
Ni 0.0000 1.4511 3.4301
Ni 0.0000 4.4048 0.0000
Ni 0.0000 0.0000 8.9678
Ni 0.0000 1.4511 6.7754
B 1.7588 0.0000 0.0000
P 1.7588 0.0000 3.1649
P 0.0000 3.2240 1.9378
```

Summary:
Density of states at the Fermi level (states/eV/atom): 0.43
Distance to the lowest polymorph of the same formula (meV per atom): 85
E_form (eV per atom): -0.2594
Total DFT energy (no corrections) (eV per cell): -66.60

A plane-wave DFT calculation with PBE-GGA was carried out for an optimized crystal structure of Sr3Sn4Ir2.

Cell and atoms, written as extended XYZ:
```
9
Lattice="5.9419 -2.3937 0.0000 5.9419 2.3937 0.0000 -2.2002 0.0000 8.7310" Properties=species:S:1:pos:R:3 pbc="T T T"
Sr 0.0000 0.0000 0.0000
Sr 3.9316 0.0000 2.6862
Sr 5.7521 0.0000 6.0448
Sn 0.3931 0.0000 3.5127
Sn 1.3724 0.0000 7.9657
Sn 8.3113 0.0000 0.7653
Sn 9.2906 0.0000 5.2183
Ir 2.2240 0.0000 5.4612
Ir 7.4598 0.0000 3.2698
```

Summary:
Density of states at the Fermi level (states/eV/atom): 0.52
E_form (eV per atom): -0.5331
Total DFT energy (no corrections) (eV per cell): -43.58

A plane-wave DFT calculation with PBE-GGA was carried out for an optimized crystal structure of NdCu5Rh.

Cell and atoms, written as extended XYZ:
```
28
Lattice="8.1386 0.0000 0.0000 0.0000 5.0430 0.0000 0.0000 0.0000 10.2748" Properties=species:S:1:pos:R:3 pbc="T T T"
Nd 1.9227 1.2608 0.6821
Nd 2.1465 3.7823 5.8195
Nd 5.9920 1.2608 4.4553
Nd 6.2158 3.7823 9.5927
Cu 0.4634 3.7823 1.0328
Cu 0.5439 0.0209 3.2048
Cu 0.5439 2.5007 3.2048
Cu 0.7876 1.2608 5.3187
Cu 1.4924 1.2608 7.7400
Cu 2.5769 3.7823 2.6026
Cu 3.2816 3.7823 0.1813
Cu 3.5254 2.5424 8.3422
Cu 3.5254 5.0222 8.3422
Cu 3.6059 1.2608 6.1702
Cu 4.5327 3.7823 4.1046
Cu 4.6132 0.0209 1.9326
Cu 4.6132 2.5007 1.9326
Cu 4.8569 1.2608 10.0935
Cu 5.5617 1.2608 7.6722
Cu 6.6462 3.7823 2.5348
Cu 7.3509 3.7823 4.9561
Cu 7.5947 2.5424 7.0700
Cu 7.5947 5.0222 7.0700
Cu 7.6752 1.2608 9.2420
Rh 1.1466 3.7823 8.8088
Rh 2.9227 1.2608 3.6715
Rh 5.2159 3.7823 6.6033
Rh 6.9919 1.2608 1.4659
```

Summary:
Density of states at the Fermi level (states/eV/atom): 0.50
E_form (eV per atom): -0.1862
Total DFT energy (no corrections) (eV per cell): -135.61

A plane-wave DFT calculation with PBE-GGA was carried out for an optimized crystal structure of BeAlSnN2.

Cell and atoms, written as extended XYZ:
```
5
Lattice="3.7100 0.0000 0.0000 0.0000 3.7100 0.0000 0.0000 0.0000 5.2093" Properties=species:S:1:pos:R:3 pbc="T T T"
Be 0.0000 0.0000 0.0000
Al 0.0000 0.0000 2.6046
Sn 1.8550 1.8550 0.0000
N 0.0000 1.8550 2.6046
N 1.8550 0.0000 2.6046
```

Summary:
Density of states at the Fermi level (states/eV/atom): 0.60
Total DFT energy (no corrections) (eV per cell): -23.75

A plane-wave DFT calculation with PBE-GGA was carried out for an optimized crystal structure of Sm2Al3Ir.

Cell and atoms, written as extended XYZ:
```
6
Lattice="2.7775 1.6036 4.4515 -2.7775 1.6036 4.4515 0.0000 -3.2072 4.4515" Properties=species:S:1:pos:R:3 pbc="T T T"
Sm 0.0000 0.0000 1.6875
Sm 0.0000 0.0000 11.6671
Al -1.3888 -0.8018 4.4515
Al -1.3888 0.8018 8.9031
Al 0.0000 1.6036 4.4515
Ir 0.0000 0.0000 6.6773
```

Summary:
Density of states at the Fermi level (states/eV/atom): 0.53
E_form (eV per atom): -0.6615
Total DFT energy (no corrections) (eV per cell): -33.50

A plane-wave DFT calculation with PBE-GGA was carried out for an optimized crystal structure of Sr2IrPb.

Cell and atoms, written as extended XYZ:
```
16
Lattice="11.0895 0.0000 0.0000 0.0000 11.0895 0.0000 0.0000 0.0000 5.2397" Properties=species:S:1:pos:R:3 pbc="T T T"
Sr 0.9285 2.7724 0.6550
Sr 2.7724 6.4732 1.9649
Sr 2.7724 10.1610 4.5847
Sr 4.6163 2.7724 3.2748
Sr 6.4732 8.3171 3.2748
Sr 8.3171 0.9285 4.5847
Sr 8.3171 4.6163 1.9649
Sr 10.1610 8.3171 0.6550
Ir 0.0000 0.0000 0.0000
Ir 0.0000 5.5448 1.3099
Ir 5.5448 0.0000 3.9297
Ir 5.5448 5.5448 2.6198
Pb 0.0000 0.0000 2.6198
Pb 0.0000 5.5448 3.9297
Pb 5.5448 0.0000 1.3099
Pb 5.5448 5.5448 0.0000
```

Summary:
Density of states at the Fermi level (states/eV/atom): 0.47
E_form (eV per atom): -0.1494
Total DFT energy (no corrections) (eV per cell): -66.12

A plane-wave DFT calculation with PBE-GGA was carried out for an optimized crystal structure of TcPBr2.

Cell and atoms, written as extended XYZ:
```
8
Lattice="15.5694 0.0000 0.0000 0.0000 3.1362 0.0000 -0.5784 0.0000 3.8902" Properties=species:S:1:pos:R:3 pbc="T T T"
Tc 0.0000 0.0000 0.0000
Tc 7.7847 1.5681 0.0000
P -0.2892 1.5681 1.9451
P 7.4955 0.0000 1.9451
Br 2.0742 1.5681 0.7694
Br 5.1321 0.0000 3.1208
Br 9.8589 0.0000 0.7694
Br 12.9168 1.5681 3.1208
```

Summary:
Density of states at the Fermi level (states/eV/atom): 0.35
Distance to the lowest polymorph of the same formula (meV per atom): 319
Total DFT energy (no corrections) (eV per cell): -37.09